Record 1
## Ba2Na2UO6 (PBE-GGA)

Data for crystalline Ba2Na2UO6 at its relaxed geometry.

Cell lengths 6.4777, 6.4777, 16.5996 Å; angles 90.00, 90.00, 120.00 degrees
Space group R-3m (No. 166, hexagonal axes)
Asymmetric unit:
Ba1 0.0000 0.0000 0.2113
Na1 0.0000 0.0000 0.4194
U1 0.0000 0.0000 0.0000
O1 0.0473 0.5237 0.7485

## Properties
M_tot = 0.00 Bohr magnetons per cell
E_form (uncorrected) = -27.57 eV/f.u.
D(E_F) = 0.0 states/eV per cell


Record 2
## Ba2NaUO6 (PBE-GGA)

Data for crystalline Ba2NaUO6 at its relaxed geometry.

Cell lengths 8.7010, 8.7010, 8.7010 Å; angles 90.00, 90.00, 90.00 degrees
Space group Fm-3m (No. 225)
Asymmetric unit:
Ba1 0.2500 0.2500 0.2500
Na1 0.0000 0.0000 0.0000
U1 0.0000 0.0000 0.5000
O1 0.0000 0.0000 0.2640

## Properties
M_tot = 4.37 Bohr magnetons per cell
E_form (uncorrected) = -26.61 eV/f.u.
D(E_F) = 30.2 states/eV per cell


Record 3
## BaNa2UO6 (PBE-GGA)

Data for crystalline BaNa2UO6 at its relaxed geometry.

Cell lengths 12.4488, 7.8124, 7.3953 Å; angles 90.00, 116.45, 90.00 degrees
Space group C2/c (No. 15)
Asymmetric unit:
Ba1 0.0000 0.1867 0.2500
Na1 0.2463 0.4743 0.2653
U1 0.0000 0.2998 0.7500
O1 0.0926 0.1167 0.9577
O2 0.1070 0.4939 0.9156
O3 0.1268 0.2780 0.6399

## Properties
M_tot = 0.00 Bohr magnetons per cell
E_form (uncorrected) = -21.88 eV/f.u.


Record 4
## Ba4NaU3O12 (PBE-GGA)

Data for crystalline Ba4NaU3O12 at its relaxed geometry.

Cell lengths 8.8368, 8.8368, 8.8368 Å; angles 90.00, 90.00, 90.00 degrees
Space group Im-3m (No. 229)
Asymmetric unit:
Ba1 0.2500 0.2500 0.2500
Na1 0.0000 0.0000 0.0000
U1 0.0000 0.0000 0.5000
O1 0.0000 0.0000 0.2706
O2 0.0000 0.2500 0.5000

## Properties
M_tot = 6.00 Bohr magnetons per cell
E_form (uncorrected) = -60.88 eV/f.u.
D(E_F) = 0.1 states/eV per cell


Record 5
## Ba3Na2UO8 (PBE-GGA)

Data for crystalline Ba3Na2UO8 at its relaxed geometry.

Cell lengths 6.1502, 6.1502, 7.8845 Å; angles 90.00, 90.00, 120.00 degrees
Space group P-3m1 (No. 164)
Asymmetric unit:
Ba1 0.0000 0.0000 0.0000
Ba2 0.3333 0.6667 0.6269
Na1 0.3333 0.6667 0.1931
U1 0.0000 0.0000 0.5000
O1 0.1560 0.3119 0.3429
O2 0.3333 0.6667 0.9250

## Properties
M_tot = 2.06 Bohr magnetons per cell
E_form (uncorrected) = -31.32 eV/f.u.
D(E_F) = 9.1 states/eV per cell


Record 6
## Ba3NaU2O9 (PBE-GGA)

Data for crystalline Ba3NaU2O9 at its relaxed geometry.

Cell lengths 6.1934, 6.1934, 7.6454 Å; angles 90.00, 90.00, 120.00 degrees
Space group P-3m1 (No. 164)
Asymmetric unit:
Ba1 0.0000 0.0000 0.0000
Ba2 0.3333 0.6667 0.6403
Na1 0.0000 0.0000 0.5000
U1 0.3333 0.6667 0.1672
O1 0.0000 0.5000 0.0000
O2 0.1772 0.3544 0.3208

## Properties
M_tot = 1.00 Bohr magnetons per cell
E_form (uncorrected) = -44.65 eV/f.u.
D(E_F) = 7.3 states/eV per cell


Record 7
## BaNaU2O7 (PBE-GGA)

Data for crystalline BaNaU2O7 at its relaxed geometry.

Cell lengths 4.3418, 4.3418, 20.8794 Å; angles 90.00, 90.00, 90.00 degrees
Space group I-4m2 (No. 119)
Asymmetric unit:
Ba1 0.0000 0.0000 0.0000
Na1 0.0000 0.5000 0.2500
U1 0.0000 0.0000 0.3942
O1 0.0000 0.0000 0.3026
O2 0.0000 0.0000 0.5000
O3 0.0000 0.5000 0.0946
O4 0.0000 0.5000 0.5910

## Properties
M_tot = 2.00 Bohr magnetons per cell
E_form (uncorrected) = -32.84 eV/f.u.
D(E_F) = 14.0 states/eV per cell